Entry 1:
Crystalline Ag2Sn2Cl at its relaxed geometry, computed with PBE.

Cell: 8.2398 8.2398 3.4640 Å, 90.00 90.00 90.00°
With the nearest neighbours (Å) after each atom.
Atoms (fractional coordinates):
Sn 0.1316 0.6316 0.5000  6 Ag 2.92-3.02, 1 Sn 3.07
Sn 0.3684 0.1316 0.5000  6 Ag 2.92-3.02, 1 Sn 3.07
Sn 0.6316 0.8684 0.5000  6 Ag 2.92-3.02, 1 Sn 3.07
Cl 0.0000 0.0000 0.0000  4 Ag 3.07
Sn 0.8684 0.3684 0.5000  6 Ag 2.92-3.02, 1 Sn 3.07
Ag 0.8330 0.6670 0.0000  6 Sn 2.92-3.02, 2 Cl 3.07
Ag 0.3330 0.8330 0.0000  6 Sn 2.92-3.02, 2 Cl 3.07
Ag 0.1670 0.3330 0.0000  6 Sn 2.92-3.02, 2 Cl 3.07
Cl 0.5000 0.5000 0.0000  4 Ag 3.07
Ag 0.6670 0.1670 0.0000  6 Sn 2.92-3.02, 2 Cl 3.07

Output
M_tot   0.000 μB per atom
Calculated total energy   -3.150 eV/atom
Formation energy (no corrections)   -0.039 eV/atom

=====

Entry 2:
Crystalline LiAgBrCl at its relaxed geometry, computed with PBE.

Cell: 4.1814 4.1814 7.3735 Å, 89.99 106.47 120.02°
With the nearest neighbours (Å) after each atom.
Atoms (fractional coordinates):
Cl 0.1943 0.9804 0.1747  3 Li 2.48-2.49, 1 Ag 2.58
Ag 0.4397 0.1051 0.5448  1 Cl 2.58, 3 Br 2.71
Br 0.2237 0.4967 0.7205  1 Li 2.57, 3 Ag 2.71
Li 0.4712 0.6186 0.0899  3 Cl 2.48-2.49, 1 Br 2.57

Output
M_tot   0.000 μB per atom
Calculated total energy   -3.106 eV/atom
Formation energy (no corrections)   -1.035 eV/atom

=====

Entry 3:
Crystalline Pr2DyLu at its relaxed geometry, computed with PBE.

Cell: 3.6378 3.6378 10.0230 Å, 90.00 90.00 90.00°
With the nearest neighbours (Å) after each atom.
Atoms (fractional coordinates):
Pr 0.0000 0.0000 0.2468  4 Lu 3.57, 4 Dy 3.61, 4 Pr 3.64
Dy 0.5000 0.5000 0.5000  8 Pr 3.61, 4 Dy 3.64
Pr 0.0000 0.0000 0.7532  4 Lu 3.57, 4 Dy 3.61, 4 Pr 3.64
Lu 0.5000 0.5000 0.0000  8 Pr 3.57, 4 Lu 3.64

Output
M_tot   0.000 μB per atom
Calculated total energy   -4.647 eV/atom
Energy of formation   2 kJ per mole of atoms

=====

Entry 4:
Crystalline RbAl2Zn2 at its relaxed geometry, computed with PBE.

Cell: 8.6854 8.6854 2.8582 Å, 90.00 90.00 90.00°
With the nearest neighbours (Å) after each atom.
Atoms (fractional coordinates):
Al 0.6340 0.8660 0.5000  6 Zn 2.83-3.04, 2 Al 2.86
Rb 0.5000 0.5000 0.0000  2 Rb 2.86
Zn 0.1475 0.3525 0.0000  6 Al 2.83-3.04, 2 Zn 2.86
Al 0.3660 0.1340 0.5000  6 Zn 2.83-3.04, 2 Al 2.86
Zn 0.3525 0.8525 0.0000  6 Al 2.83-3.04, 2 Zn 2.86
Al 0.8660 0.3660 0.5000  6 Zn 2.83-3.04, 2 Al 2.86
Zn 0.6475 0.1475 0.0000  6 Al 2.83-3.04, 2 Zn 2.86
Zn 0.8525 0.6475 0.0000  6 Al 2.83-3.04, 2 Zn 2.86
Al 0.1340 0.6340 0.5000  6 Zn 2.83-3.04, 2 Al 2.86
Rb 0.0000 0.0000 0.0000  2 Rb 2.86

Output
M_tot   0.000 μB per atom
Calculated total energy   -2.002 eV/atom
Energy of formation   19 kJ per mole of atoms